DFT (PBE-GGA) results for NaVGe2 after structural relaxation.

Output
Its formation energy is -0.02 eV/atom. As for the magnetic moment: 1.45 μB/f.u. The calculation puts the energy above the most stable polymorph in this dataset at 0.00 eV per formula unit. As for the mass density: 4866 kg/m³. The value obtained for the total energy is -4.941 eV per atom.

a = 3.279 Å, b = 3.279 Å, c = 6.957 Å
α = 90.00°, β = 90.00°, γ = 90.00°
Last column: magnetic moment on the atom in μB.
Atoms (fractional coordinates):
Na  0.500  0.500  0.500  0.01
Ge  0.000  0.000  0.811  -0.01
Ge  0.000  0.000  0.189  -0.01
V  0.500  0.500  0.000  1.23